Density functional theory data (GGA-PBE) for DyRhAu2 after structural relaxation.

Lattice parameters (Å, degrees): 6.7636 6.7636 6.7636 90.00 90.00 90.00
With the nearest neighbours (Å) after each atom.
Space group Fm-3m (No. 225)
Asymmetric unit:
Dy (0.0000, 0.0000, 0.0000) (multiplicity 4)  8 Au 2.93
Rh (0.0000, 0.0000, 0.5000) (multiplicity 4)  8 Au 2.93
Au (0.2500, 0.2500, 0.2500) (multiplicity 8)  4 Dy 2.93, 4 Rh 2.93

DOS(E_F)   12.842 states/eV per cell
ΔH_f (0 K)   -493 meV/atom

***

Density functional theory data (GGA-PBE) for TaV after structural relaxation.

Lattice parameters (Å, degrees): 3.2019 4.6009 4.3669 90.00 90.00 90.00
With the nearest neighbours (Å) after each atom.
Space group Cmmm (No. 65)
Asymmetric unit:
Ta (0.0000, 0.0000, 0.0000) (multiplicity 2)  4 V 2.71, 4 Ta 2.80
V (0.0000, 0.5000, 0.5000) (multiplicity 2)  4 Ta 2.71, 4 V 2.80

DOS(E_F)   7.822 states/eV per cell
ΔH_f (0 K)   86 meV/atom

***

Density functional theory data (GGA-PBE) for KNp2SbO8 after structural relaxation.

Lattice parameters (Å, degrees): 5.2046 5.2052 7.0657 89.28 89.28 87.57
With the nearest neighbours (Å) after each atom.
Space group P-1 (No. 2)
Asymmetric unit:
K (0.0000, 0.0000, 0.0000) (multiplicity 1)  6 O 2.55
Np (0.4963, 0.4963, 0.2524) (multiplicity 2)  4 O 1.96-2.14
Sb (0.0000, 0.0000, 0.5000) (multiplicity 1)  6 O 2.28-2.37
O (0.2285, 0.7716, 0.2766) (multiplicity 2)  1 Np 1.96
O (0.2298, 0.7730, 0.7234) (multiplicity 2)  1 Np 1.96
O (0.3155, 0.3166, 0.4901) (multiplicity 2)  2 Np 2.14-2.32, 1 Sb 2.37
O (0.3379, 0.3394, 0.9766) (multiplicity 2)  1 Np 2.02

DOS(E_F)   4.150 states/eV per cell
Formation energy from raw total energies   -2.2681 eV per atom

***

Density functional theory data (GGA-PBE) for Fe2NiAs after structural relaxation.

Lattice parameters (Å, degrees): 3.0765 3.0765 5.2653 90.00 90.00 90.00
With the nearest neighbours (Å) after each atom.
Space group P4mm (No. 99)
Asymmetric unit:
Fe (0.0000, 0.0000, 0.0000) (multiplicity 1)  4 Fe 2.53, 4 As 2.56, 2 Ni 2.59-2.67
Fe (0.5000, 0.5000, 0.2435) (multiplicity 1)  4 Fe 2.53, 4 Ni 2.54, 2 As 2.62-2.64
Ni (0.0000, 0.0000, 0.4923) (multiplicity 1)  6 Fe 2.54-2.67, 4 As 2.55
As (0.5000, 0.5000, 0.7450) (multiplicity 1)  4 Ni 2.55, 6 Fe 2.56-2.64

DOS(E_F)   3.029 states/eV per cell
ΔH_f (0 K)   -1 meV/atom

***

Density functional theory data (GGA-PBE) for TbSmTe3 after structural relaxation.

Lattice parameters (Å, degrees): 7.7866 7.7866 21.3225 90.00 90.00 120.00
With the nearest neighbours (Å) after each atom.
Space group R-3 (No. 148, hexagonal axes)
Asymmetric unit:
Tb (0.0000, 0.0000, 0.1571) (multiplicity 6)  6 Te 3.08-3.12
Sm (0.0000, 0.0000, 0.3445) (multiplicity 6)  6 Te 3.12-3.17
Te (0.0039, 0.3140, 0.7509) (multiplicity 18)  2 Tb 3.08-3.12, 2 Sm 3.12-3.17

Formation energy from raw total energies   -1.3732 eV per atom

***

Density functional theory data (GGA-PBE) for Li2ThAl10 after structural relaxation.

Lattice parameters (Å, degrees): 5.3601 12.8125 13.3170 90.00 90.00 90.00
With the nearest neighbours (Å) after each atom.
Space group Fmmm (No. 69)
Asymmetric unit:
Li (0.2500, 0.0000, 0.2500) (multiplicity 8)  8 Al 2.67-2.81, 2 Li 2.68
Th (0.0000, 0.0000, 0.0000) (multiplicity 4)  16 Al 3.27-3.47, 4 Li 3.59
Al (0.0000, 0.1091, 0.3885) (multiplicity 16)  2 Li 2.67, 8 Al 2.69-2.97
Al (0.0000, 0.1771, 0.1769) (multiplicity 16)  7 Al 2.70-2.95, 2 Li 2.81
Al (0.2500, 0.2500, 0.0000) (multiplicity 8)  10 Al 2.68-2.87

DOS(E_F)   22.382 states/eV per cell
ΔH_f (0 K)   -142 meV/atom

***

Density functional theory data (GGA-PBE) for TbHfAsP after structural relaxation.

Lattice parameters (Å, degrees): 3.8399 3.8399 20.1362 90.00 90.00 120.00
With the nearest neighbours (Å) after each atom.
Space group R3m (No. 160, hexagonal axes)
Asymmetric unit:
Tb (0.0000, 0.0000, 0.0000) (multiplicity 3)  3 P 2.80, 3 As 2.96
Hf (0.0000, 0.0000, 0.1798) (multiplicity 3)  3 P 2.61, 3 As 2.77
As (0.0000, 0.0000, 0.7637) (multiplicity 3)  3 Hf 2.77, 3 Tb 2.96
P (0.0000, 0.0000, 0.5817) (multiplicity 3)  3 Hf 2.61, 3 Tb 2.80

DOS(E_F)   6.770 states/eV per cell
ΔH_f (0 K)   -1289 meV/atom

***

Density functional theory data (GGA-PBE) for AcPbAu4 after structural relaxation.

Lattice parameters (Å, degrees): 8.2308 8.2308 8.2308 90.00 90.00 90.00
With the nearest neighbours (Å) after each atom.
Space group F-43m (No. 216)
Asymmetric unit:
Ac (0.0000, 0.0000, 0.0000) (multiplicity 4)  12 Au 3.41, 4 Pb 3.56
Pb (0.2500, 0.2500, 0.2500) (multiplicity 4)  12 Au 3.41, 4 Ac 3.56
Au (0.1246, 0.1246, 0.6246) (multiplicity 16)  6 Au 2.90-2.92

DOS(E_F)   16.222 states/eV per cell
ΔH_f (0 K)   -446 meV/atom

***

Density functional theory data (GGA-PBE) for Ta3TcPb after structural relaxation.

Lattice parameters (Å, degrees): 4.8554 4.8554 4.8554 90.00 90.00 90.00
With the nearest neighbours (Å) after each atom.
Space group Pm-3m (No. 221)
Asymmetric unit:
Ta (0.0000, 0.0000, 0.5000) (multiplicity 3)  2 Tc 2.43
Tc (0.0000, 0.0000, 0.0000) (multiplicity 1)  6 Ta 2.43
Pb (0.5000, 0.5000, 0.5000) (multiplicity 1)  12 Ta 3.43

DOS(E_F)   2.761 states/eV per cell
ΔH_f (0 K)   1023 meV/atom

***

Density functional theory data (GGA-PBE) for Ac2Zn4Cu3Ag after structural relaxation.

Lattice parameters (Å, degrees): 4.3228 4.3228 10.9081 90.00 90.00 90.00
With the nearest neighbours (Å) after each atom.
Space group P-4m2 (No. 115)
Asymmetric unit:
Ac (0.0000, 0.5000, 0.2410) (multiplicity 2)  6 Cu 3.29-3.56, 8 Zn 3.34-3.40, 2 Ag 3.56
Zn (0.0000, 0.0000, 0.0000) (multiplicity 1)  4 Cu 2.58
Zn (0.0000, 0.5000, 0.6349) (multiplicity 2)  3 Cu 2.58-2.61, 2 Ag 2.61
Zn (0.5000, 0.5000, 0.0000) (multiplicity 1)  4 Cu 2.58
Cu (0.0000, 0.5000, 0.8713) (multiplicity 2)  5 Zn 2.58
Cu (0.5000, 0.5000, 0.5000) (multiplicity 1)  4 Zn 2.61
Ag (0.0000, 0.0000, 0.5000) (multiplicity 1)  4 Zn 2.61

DOS(E_F)   5.636 states/eV per cell
ΔH_f (0 K)   -213 meV/atom

***

Density functional theory data (GGA-PBE) for Ho8Te3S3N after structural relaxation.

Lattice parameters (Å, degrees): 13.6785 7.9063 8.2962 90.00 123.32 90.00
With the nearest neighbours (Å) after each atom.
Space group C2/m (No. 12)
Asymmetric unit:
Ho (0.0114, 0.2256, 0.3085) (multiplicity 8)  1 N 2.45, 2 S 2.74
Ho (0.2143, 0.0000, 0.6916) (multiplicity 4)  1 N 2.45
Ho (0.2328, 0.5000, 0.6988) (multiplicity 4)  3 S 2.66-2.67
Te (0.0000, 0.0000, 0.0000) (multiplicity 2)  6 Ho 3.05-3.09
Te (0.2500, 0.2500, 0.0000) (multiplicity 4)  6 Ho 3.05-3.09
S (0.0000, 0.5000, 0.5000) (multiplicity 2)  6 Ho 2.66-2.74
S (0.2500, 0.2500, 0.5000) (multiplicity 4)  6 Ho 2.67-2.74
N (0.0000, 0.0000, 0.5000) (multiplicity 2)  6 Ho 2.45

DOS(E_F)   11.259 states/eV per cell
Formation energy from raw total energies   -1.4562 eV per atom

***

Density functional theory data (GGA-PBE) for La4PtN2 after structural relaxation.

Lattice parameters (Å, degrees): 3.8388 12.5156 13.2809 90.00 90.00 90.00
With the nearest neighbours (Å) after each atom.
Space group Cmcm (No. 63)
Asymmetric unit:
La (0.0000, 0.0000, 0.0000) (multiplicity 4)  4 N 2.67
La (0.0000, 0.2721, 0.1068) (multiplicity 8)  3 N 2.50-2.66
La (0.0000, 0.4315, 0.7500) (multiplicity 4)  2 N 2.66, 2 Pt 2.93
Pt (0.0000, 0.1086, 0.7500) (multiplicity 4)  6 La 2.93-3.09
N (0.0000, 0.3657, 0.5593) (multiplicity 8)  6 La 2.50-2.67

DOS(E_F)   26.738 states/eV per cell
Formation energy from raw total energies   -1.0607 eV per atom

***

Density functional theory data (GGA-PBE) for Ag2Pt2Pb after structural relaxation.

Lattice parameters (Å, degrees): 7.1104 7.1104 3.8926 90.00 90.00 90.00
With the nearest neighbours (Å) after each atom.
Space group P4/mbm (No. 127)
Asymmetric unit:
Ag (0.1586, 0.3414, 0.0000) (multiplicity 4)  6 Pt 2.84-2.86
Pt (0.1356, 0.6356, 0.5000) (multiplicity 4)  1 Pt 2.73, 2 Pb 2.76, 6 Ag 2.84-2.86
Pb (0.0000, 0.0000, 0.5000) (multiplicity 2)  4 Pt 2.76

DOS(E_F)   3.213 states/eV per cell
ΔH_f (0 K)   49 meV/atom

***

Density functional theory data (GGA-PBE) for ScTaI2O after structural relaxation.

Lattice parameters (Å, degrees): 5.7942 5.7942 3.8597 90.00 90.00 90.00
With the nearest neighbours (Å) after each atom.
Space group P4/mmm (No. 123)
Asymmetric unit:
Sc (0.0000, 0.0000, 0.0000) (multiplicity 1)  8 I 3.48, 2 Sc 3.86
Ta (0.5000, 0.5000, 0.5000) (multiplicity 1)  2 O 1.93
I (0.0000, 0.5000, 0.5000) (multiplicity 2)  2 Ta 2.90
O (0.5000, 0.5000, 0.0000) (multiplicity 1)  2 Ta 1.93

DOS(E_F)   5.772 states/eV per cell
Formation energy from raw total energies   -0.4842 eV per atom

***

Density functional theory data (GGA-PBE) for LiTmAu after structural relaxation.

Lattice parameters (Å, degrees): 3.6521 3.6521 9.0976 90.00 90.00 90.00
With the nearest neighbours (Å) after each atom.
Space group I4mm (No. 107)
Asymmetric unit:
Li (0.0000, 0.0000, 0.0000) (multiplicity 2)  5 Tm 2.82-3.11, 4 Au 2.92
Tm (0.0000, 0.0000, 0.3101) (multiplicity 2)  5 Li 2.82-3.11, 5 Au 2.97-3.09
Au (0.0000, 0.0000, 0.6498) (multiplicity 2)  5 Li 2.92-3.19, 5 Tm 2.97-3.09

DOS(E_F)   1.825 states/eV per cell
ΔH_f (0 K)   -556 meV/atom

***

Density functional theory data (GGA-PBE) for La2ClF after structural relaxation.

Lattice parameters (Å, degrees): 7.0446 7.0446 7.0446 90.00 90.00 90.00
With the nearest neighbours (Å) after each atom.
Space group Fm-3m (No. 225)
Asymmetric unit:
La (0.2500, 0.2500, 0.2500) (multiplicity 8)  4 F 3.05, 4 Cl 3.05
Cl (0.0000, 0.0000, 0.0000) (multiplicity 4)  8 La 3.05
F (0.0000, 0.0000, 0.5000) (multiplicity 4)  8 La 3.05

DOS(E_F)   20.696 states/eV per cell
Formation energy from raw total energies   -1.5094 eV per atom

***

Density functional theory data (GGA-PBE) for HgMoW2 after structural relaxation.

Lattice parameters (Å, degrees): 2.7804 4.3725 5.7257 90.00 98.42 90.00
With the nearest neighbours (Å) after each atom.
Space group Pm (No. 6)
Asymmetric unit:
Hg (0.0000, 0.0000, 0.0000) (multiplicity 1)  2 Hg 2.78, 6 W 2.85-3.04, 4 Mo 3.00-3.03
Mo (0.5688, 0.5000, 0.2721) (multiplicity 1)  3 W 2.66-2.72, 2 Mo 2.78
W (0.4274, 0.5000, 0.7224) (multiplicity 1)  1 Mo 2.66, 4 W 2.73-2.78
W (0.9944, 0.0000, 0.4980) (multiplicity 1)  2 Mo 2.72, 4 W 2.73-2.78, 2 Hg 2.85-2.87

DOS(E_F)   2.020 states/eV per cell
ΔH_f (0 K)   505 meV/atom

***

Density functional theory data (GGA-PBE) for CdReBr after structural relaxation.

Lattice parameters (Å, degrees): 2.9707 5.3777 16.6202 90.00 90.00 90.00
With the nearest neighbours (Å) after each atom.
Space group Fmm2 (No. 42)
Asymmetric unit:
Cd (0.0000, 0.0000, 0.0000) (multiplicity 4)  2 Re 2.88, 6 Cd 2.97-3.07
Re (0.0000, 0.0000, 0.3515) (multiplicity 4)  2 Br 2.52
Br (0.0000, 0.0000, 0.7294) (multiplicity 4)  2 Re 2.52

DOS(E_F)   10.047 states/eV per cell
Formation energy from raw total energies   0.8017 eV per atom

***

Density functional theory data (GGA-PBE) for Cd3TcS after structural relaxation.

Lattice parameters (Å, degrees): 5.2920 5.2920 5.2920 90.00 90.00 90.00
With the nearest neighbours (Å) after each atom.
Space group Pm-3m (No. 221)
Asymmetric unit:
Cd (0.0000, 0.0000, 0.5000) (multiplicity 3)  2 Tc 2.65
Tc (0.0000, 0.0000, 0.0000) (multiplicity 1)  6 Cd 2.65
S (0.5000, 0.5000, 0.5000) (multiplicity 1)  12 Cd 3.74

DOS(E_F)   2.262 states/eV per cell
Formation energy from raw total energies   1.0261 eV per atom

***

Density functional theory data (GGA-PBE) for NiAgHgPb2 after structural relaxation.

Lattice parameters (Å, degrees): 5.6947 5.6947 4.8418 90.00 90.00 90.00
With the nearest neighbours (Å) after each atom.
Space group P4/mmm (No. 123)
Asymmetric unit:
Ni (0.0000, 0.0000, 0.0000) (multiplicity 1)  2 Hg 2.42
Ag (0.5000, 0.5000, 0.0000) (multiplicity 1)  8 Pb 3.74, 4 Ni 4.03
Hg (0.0000, 0.0000, 0.5000) (multiplicity 1)  2 Ni 2.42
Pb (0.0000, 0.5000, 0.5000) (multiplicity 2)  2 Hg 2.85

DOS(E_F)   4.463 states/eV per cell
ΔH_f (0 K)   837 meV/atom

***

Density functional theory data (GGA-PBE) for Ca3Ac4Sn4 after structural relaxation.

Lattice parameters (Å, degrees): 3.7738 10.2097 20.0745 90.00 90.00 90.00
With the nearest neighbours (Å) after each atom.
Space group Immm (No. 71)
Asymmetric unit:
Ca (0.0000, 0.0000, 0.0000) (multiplicity 2)  4 Sn 3.39, 2 Ca 3.77
Ca (0.0000, 0.5000, 0.0867) (multiplicity 4)  6 Sn 3.27-3.44, 1 Ca 3.48
Ac (0.0000, 0.3205, 0.3354) (multiplicity 8)  4 Sn 3.45-3.51, 3 Ac 3.67-3.77
Sn (0.0000, 0.0000, 0.2804) (multiplicity 4)  2 Ca 3.27, 6 Ac 3.45-3.51
Sn (0.0000, 0.2247, 0.5000) (multiplicity 4)  6 Ca 3.39-3.44, 2 Ac 3.45, 2 Sn 3.77

DOS(E_F)   8.025 states/eV per cell
ΔH_f (0 K)   -500 meV/atom

***

Density functional theory data (GGA-PBE) for Sm2TmNb after structural relaxation.

Lattice parameters (Å, degrees): 3.3267 3.3267 34.8385 90.00 90.00 120.00
With the nearest neighbours (Å) after each atom.
Space group R-3m (No. 166, hexagonal axes)
Asymmetric unit:
Sm (0.0000, 0.0000, 0.0834) (multiplicity 6)  1 Nb 2.91
Tm (0.0000, 0.0000, 0.5000) (multiplicity 3)  6 Tm 3.33, 6 Sm 3.48
Nb (0.0000, 0.0000, 0.0000) (multiplicity 3)  2 Sm 2.91

DOS(E_F)   13.578 states/eV per cell
ΔH_f (0 K)   544 meV/atom

***

Number 1: DFT total energy -5.120 eV per atom. Number 2: DFT total energy -10.399 eV per atom. Number 3: DFT total energy -8.165 eV per atom. Number 4: DFT total energy -6.840 eV per atom. Number 5: DFT total energy -5.128 eV per atom. Number 6: DFT total energy -3.886 eV per atom. Number 7: DFT total energy -7.450 eV per atom. Number 8: DFT total energy -3.934 eV per atom. Number 9: DFT total energy -8.904 eV per atom. Number 10: DFT total energy -3.058 eV per atom. Number 11: DFT total energy -5.906 eV per atom. Number 12: DFT total energy -7.118 eV per atom. Number 13: DFT total energy -4.249 eV per atom. Number 14: DFT total energy -5.733 eV per atom. Number 15: DFT total energy -3.777 eV per atom. Number 16: DFT total energy -4.903 eV per atom. Number 17: DFT total energy -8.755 eV per atom. Number 18: DFT total energy -4.210 eV per atom. Number 19: DFT total energy -2.422 eV per atom. Number 20: DFT total energy -2.434 eV per atom. Number 21: DFT total energy -3.995 eV per atom. Number 22: DFT total energy -5.451 eV per atom.